1.
Below is an optimized crystal structure of LiYHoCu, with properties calculated at the GGA-PBE level.

Properties
Magnetic moment = 0.00 μB/f.u.
V = 89.4 Å³ per cell
Formation enthalpy at 0 K = -44 meV/atom
Crystal system = cubic
Symmetry = F-43m, No. 216

Cell: 5.0196 5.0196 5.0196 Å, 60.00 60.00 60.00°
Closest atoms and distances in Å follow each position.
Sites, in units of the cell vectors:
Y  0.0000  0.0000  0.0000  4 Cu 3.07, 4 Li 3.07
Ho  0.5000  0.5000  0.5000  4 Li 3.07, 4 Cu 3.07
Cu  0.2500  0.2500  0.2500  4 Ho 3.07, 4 Y 3.07
Li  0.7500  0.7500  0.7500  4 Ho 3.07, 4 Y 3.07

***

2.
Below is an optimized crystal structure of Tl2Ga2Cu, with properties calculated at the GGA-PBE level.

Properties
Magnetic moment = 0.00 μB/f.u.
V = 229.2 Å³ per cell
Formation enthalpy at 0 K = 124 meV/atom
Crystal system = tetragonal
Symmetry = P4/mbm, No. 127

Cell: 6.5308 6.5308 5.3743 Å, 90.00 90.00 90.00°
Closest atoms and distances in Å follow each position.
Sites, in units of the cell vectors:
Tl  0.1811  0.6811  0.5000  6 Ga 3.12-3.44, 5 Tl 3.35-3.39
Tl  0.6811  0.8189  0.5000  6 Ga 3.12-3.44, 5 Tl 3.35-3.39
Tl  0.8189  0.3189  0.5000  6 Ga 3.12-3.44, 5 Tl 3.35-3.39
Tl  0.3189  0.1811  0.5000  6 Ga 3.12-3.44, 5 Tl 3.35-3.39
Cu  0.0000  0.0000  0.0000  4 Ga 2.50
Cu  0.5000  0.5000  0.0000  4 Ga 2.50
Ga  0.3530  0.8530  0.0000  2 Cu 2.50, 1 Ga 2.72
Ga  0.8530  0.6470  0.0000  2 Cu 2.50, 1 Ga 2.72
Ga  0.6470  0.1470  0.0000  2 Cu 2.50, 1 Ga 2.72
Ga  0.1470  0.3530  0.0000  2 Cu 2.50, 1 Ga 2.72

***

3.
Below is an optimized crystal structure of TaNiMo2H, with properties calculated at the GGA-PBE level.

Properties
Magnetic moment = 0.00 μB/f.u.
V = 63.5 Å³ per cell
Crystal system = tetragonal
Raw total energy = -8.494 eV/atom
Symmetry = P4/mmm, No. 123

Cell: 3.8940 3.8940 4.1874 Å, 90.00 90.00 90.00°
Closest atoms and distances in Å follow each position.
Sites, in units of the cell vectors:
Ni  0.5000  0.5000  0.5000  4 Ta 2.75, 8 Mo 2.86
Mo  0.0000  0.5000  0.0000  2 H 1.95
Mo  0.5000  0.0000  0.0000  2 H 1.95
H  0.0000  0.0000  0.0000  4 Mo 1.95, 2 Ta 2.09
Ta  0.0000  0.0000  0.5000  2 H 2.09

***

4.
Below is an optimized crystal structure of TiCdF, with properties calculated at the GGA-PBE level.

Properties
Magnetic moment = 0.00 μB/f.u.
V = 99.5 Å³ per cell
Raw formation energy = -1.3488 eV per atom
Crystal system = orthorhombic
Symmetry = Amm2, No. 38

Cell: 2.9175 2.9174 13.4993 Å, 90.00 90.00 120.00°
Closest atoms and distances in Å follow each position.
Sites, in units of the cell vectors:
Cd  0.3364  0.6728  0.0000  2 F 2.89, 6 Cd 2.92
Cd  0.3327  0.6653  0.5000  6 Cd 2.92, 6 Ti 3.02
Ti  0.6660  0.3321  0.3145  3 F 2.16
Ti  0.6660  0.3321  0.6855  3 F 2.16
F  0.3327  0.6654  0.7856  3 Ti 2.16
F  0.3327  0.6654  0.2144  3 Ti 2.16

***

5.
Below is an optimized crystal structure of YSiRh, with properties calculated at the GGA-PBE level.

Properties
Magnetic moment = 0.00 μB/f.u.
V = 231.0 Å³ per cell
Raw formation energy = -0.9217 eV per atom
Crystal system = orthorhombic
Symmetry = Cmce, No. 64

Cell: 5.7906 6.7356 6.5587 Å, 90.00 90.00 115.46°
Closest atoms and distances in Å follow each position.
Sites, in units of the cell vectors:
Si  0.6000  0.2001  0.5272  1 Si 2.46, 4 Rh 2.47-2.61
Si  0.9000  0.7999  0.0272  1 Si 2.46, 4 Rh 2.47-2.61
Si  0.4000  0.7999  0.4728  1 Si 2.46, 4 Rh 2.47-2.61
Si  0.1000  0.2001  0.9728  1 Si 2.46, 4 Rh 2.47-2.61
Rh  0.2820  0.0640  0.2500  4 Si 2.47-2.61
Rh  0.2180  0.9360  0.7500  4 Si 2.47-2.61
Rh  0.7180  0.9360  0.7500  4 Si 2.47-2.61
Rh  0.7820  0.0640  0.2500  4 Si 2.47-2.61
Y  0.8381  0.6761  0.4488  4 Si 2.87-3.00, 4 Rh 2.91-3.06
Y  0.6619  0.3239  0.9488  4 Si 2.87-3.00, 4 Rh 2.91-3.06
Y  0.1619  0.3239  0.5512  4 Si 2.87-3.00, 4 Rh 2.91-3.06
Y  0.3381  0.6761  0.0512  4 Si 2.87-3.00, 4 Rh 2.91-3.06

***

6.
Below is an optimized crystal structure of Ba4NaAg, with properties calculated at the GGA-PBE level.

Properties
Magnetic moment = 0.00 μB/f.u.
V = 663.8 Å³ per cell
Formation enthalpy at 0 K = -6 meV/atom
Crystal system = monoclinic
Symmetry = P2_1/c, No. 14

Cell: 9.1778 8.3481 8.8028 Å, 90.00 100.21 90.00°
Closest atoms and distances in Å follow each position.
Sites, in units of the cell vectors:
Ba  0.8782  0.6387  0.1604  1 Ag 3.22, 1 Na 3.59
Ba  0.6218  0.1387  0.8396  1 Ag 3.22, 1 Na 3.59
Ba  0.3000  0.3370  0.3734  2 Ag 3.43-3.44
Ba  0.2000  0.8370  0.6266  2 Ag 3.43-3.44
Ba  0.1218  0.3613  0.8396  1 Ag 3.22, 1 Na 3.59
Ba  0.3782  0.8613  0.1604  1 Ag 3.22, 1 Na 3.59
Ba  0.7000  0.6630  0.6266  2 Ag 3.43-3.44
Ba  0.8000  0.1630  0.3734  2 Ag 3.43-3.44
Na  0.0000  0.0000  0.0000  4 Ba 3.59-3.69
Na  0.5000  0.5000  0.0000  4 Ba 3.59-3.69
Ag  0.5000  0.0000  0.5000  6 Ba 3.22-3.44
Ag  0.0000  0.5000  0.5000  6 Ba 3.22-3.44

***

7.
Below is an optimized crystal structure of Tc3AsC, with properties calculated at the GGA-PBE level.

Properties
Magnetic moment = 1.44 μB/f.u.
V = 68.2 Å³ per cell
Formation enthalpy at 0 K = 328 meV/atom
Crystal system = cubic
Symmetry = Pm-3m, No. 221

Cell: 4.0865 4.0865 4.0865 Å, 90.00 90.00 90.00°
Closest atoms and distances in Å follow each position.
Sites, in units of the cell vectors:
C  0.0000  0.0000  0.0000  6 Tc 2.04
As  0.5000  0.5000  0.5000  12 Tc 2.89
Tc  0.0000  0.5000  0.0000  2 C 2.04
Tc  0.0000  0.0000  0.5000  2 C 2.04
Tc  0.5000  0.0000  0.0000  2 C 2.04

***

8.
Below is an optimized crystal structure of NbAgSnTe2, with properties calculated at the GGA-PBE level.

Properties
Magnetic moment = 0.00 μB/f.u.
V = 158.5 Å³ per cell
Raw formation energy = 0.3741 eV per atom
Crystal system = tetragonal
Symmetry = P4/mmm, No. 123

Cell: 5.3902 5.4540 5.3902 Å, 90.00 90.00 90.00°
Closest atoms and distances in Å follow each position.
Sites, in units of the cell vectors:
Nb  0.0000  0.0000  0.0000  4 Te 2.70, 2 Sn 2.73
Te  0.0000  0.0000  0.5000  2 Nb 2.70
Te  0.5000  0.0000  0.0000  2 Nb 2.70
Sn  0.0000  0.5000  0.0000  2 Nb 2.73
Ag  0.5000  0.5000  0.5000  4 Sn 3.81, 8 Te 3.83

***

9.
Below is an optimized crystal structure of CdGeAsSe2, with properties calculated at the GGA-PBE level.

Properties
Magnetic moment = 0.00 μB/f.u.
V = 138.6 Å³ per cell
Raw formation energy = 0.7411 eV per atom
Crystal system = tetragonal
Symmetry = P4/mmm, No. 123

Cell: 5.2170 5.2170 5.0916 Å, 90.00 90.00 90.00°
Closest atoms and distances in Å follow each position.
Sites, in units of the cell vectors:
As  0.0000  0.0000  0.5000  2 Cd 2.55
Ge  0.5000  0.5000  0.5000  8 Se 3.64, 4 As 3.69
Se  0.0000  0.5000  0.0000  2 Cd 2.61
Se  0.5000  0.0000  0.0000  2 Cd 2.61
Cd  0.0000  0.0000  0.0000  2 As 2.55, 4 Se 2.61

***

10.
Below is an optimized crystal structure of Nb12Ru6N, with properties calculated at the GGA-PBE level.

Properties
Magnetic moment = 0.00 μB/f.u.
V = 336.7 Å³ per cell
Raw formation energy = 0.1184 eV per atom
Crystal system = trigonal
Symmetry = R-3, No. 148

Cell: 7.1232 7.1232 7.1232 Å, 101.39 101.39 101.39°
Closest atoms and distances in Å follow each position.
Sites, in units of the cell vectors:
Nb  0.8161  0.5910  0.4733  4 Ru 2.55-2.83, 1 Nb 2.76
Nb  0.4733  0.8161  0.5910  4 Ru 2.55-2.83, 1 Nb 2.76
Nb  0.5910  0.4733  0.8161  4 Ru 2.55-2.83, 1 Nb 2.76
Nb  0.1839  0.4090  0.5267  4 Ru 2.55-2.83, 1 Nb 2.76
Nb  0.5267  0.1839  0.4090  4 Ru 2.55-2.83, 1 Nb 2.76
Nb  0.4090  0.5267  0.1839  4 Ru 2.55-2.83, 1 Nb 2.76
Nb  0.0509  0.0215  0.3099  1 N 2.13
Nb  0.9785  0.6901  0.9491  1 N 2.13
Nb  0.6901  0.9491  0.9785  1 N 2.13
Nb  0.9491  0.9785  0.6901  1 N 2.13
Nb  0.0215  0.3099  0.0509  1 N 2.13
Nb  0.3099  0.0509  0.0215  1 N 2.13
Ru  0.6529  0.8750  0.3169  6 Nb 2.55-2.84
Ru  0.6831  0.3471  0.1250  6 Nb 2.55-2.84
Ru  0.1250  0.6831  0.3471  6 Nb 2.55-2.84
Ru  0.3471  0.1250  0.6831  6 Nb 2.55-2.84
Ru  0.3169  0.6529  0.8750  6 Nb 2.55-2.84
Ru  0.8750  0.3169  0.6529  6 Nb 2.55-2.84
N  0.0000  0.0000  0.0000  6 Nb 2.13

***

11.
Below is an optimized crystal structure of LaNd4Y2Tm2, with properties calculated at the GGA-PBE level.

Properties
Magnetic moment = 0.00 μB/f.u.
V = 302.3 Å³ per cell
Formation enthalpy at 0 K = 22 meV/atom
Crystal system = monoclinic
Symmetry = C2/m, No. 12

Cell: 5.1148 8.0992 8.0898 Å, 107.13 90.00 108.41°
Closest atoms and distances in Å follow each position.
Sites, in units of the cell vectors:
La  0.0000  0.0000  0.0000  6 Nd 3.61-3.63, 2 Y 3.62, 4 Tm 3.65
Nd  0.7773  0.5547  0.6701  3 Tm 3.55-3.61, 3 Y 3.60-3.64, 1 La 3.63, 5 Nd 3.63-3.66
Nd  0.2227  0.4453  0.3299  3 Tm 3.55-3.61, 3 Y 3.60-3.64, 1 La 3.63, 5 Nd 3.63-3.66
Nd  0.5551  0.1103  0.3318  2 La 3.61, 4 Y 3.63, 4 Nd 3.63-3.65, 2 Tm 3.64-3.65
Nd  0.4449  0.8897  0.6682  2 La 3.61, 4 Y 3.63, 4 Nd 3.63-3.65, 2 Tm 3.64-3.65
Y  0.8882  0.7763  0.3330  7 Nd 3.60-3.64, 3 Tm 3.60-3.61, 1 La 3.62, 1 Y 3.65
Y  0.1118  0.2237  0.6670  7 Nd 3.60-3.64, 3 Tm 3.60-3.61, 1 La 3.62, 1 Y 3.65
Tm  0.3308  0.6617  0.0012  5 Nd 3.55-3.65, 2 Tm 3.56, 3 Y 3.60-3.61, 2 La 3.65
Tm  0.6692  0.3383  0.9988  5 Nd 3.55-3.65, 2 Tm 3.56, 3 Y 3.60-3.61, 2 La 3.65

***

12.
Below is an optimized crystal structure of ZnTc2Au, with properties calculated at the GGA-PBE level.

Properties
Magnetic moment = 0.00 μB/f.u.
V = 61.3 Å³ per cell
Formation enthalpy at 0 K = 331 meV/atom
Crystal system = trigonal
Symmetry = R-3m, No. 166

Cell: 9.3248 9.3248 9.3248 Å, 17.12 17.12 17.12°
Closest atoms and distances in Å follow each position.
Sites, in units of the cell vectors:
Au  0.7500  0.7500  0.7500  6 Au 2.78, 6 Tc 2.87
Tc  0.9970  0.9970  0.9970  3 Zn 2.73, 6 Tc 2.78, 3 Au 2.87
Tc  0.5030  0.5030  0.5030  3 Zn 2.73, 6 Tc 2.78, 3 Au 2.87
Zn  0.2500  0.2500  0.2500  6 Tc 2.73, 6 Zn 2.78

***

13.
Below is an optimized crystal structure of LiRe2Br, with properties calculated at the GGA-PBE level.

Properties
Magnetic moment = 0.00 μB/f.u.
V = 85.2 Å³ per cell
Raw formation energy = 0.8339 eV per atom
Crystal system = orthorhombic
Symmetry = Imm2, No. 44

Cell: 6.3586 6.3586 6.3586 Å, 150.03 138.16 52.31°
Closest atoms and distances in Å follow each position.
Sites, in units of the cell vectors:
Br  0.5546  0.5546  0.0000  2 Re 2.85
Li  0.2859  0.7859  0.5000  6 Re 2.63-2.82
Re  0.9016  0.9016  0.0000  2 Re 2.32
Re  0.7580  0.2580  0.5000  2 Re 2.32

***

| no. | N(E_F) (states/eV/atom) |
| --- | --- |
| 1 | 0.959 |
| 2 | 0.524 |
| 3 | 1.128 |
| 4 | 0.779 |
| 5 | 0.511 |
| 6 | 1.158 |
| 7 | 0.923 |
| 8 | 0.649 |
| 9 | 1.225 |
| 10 | 0.919 |
| 11 | 1.504 |
| 12 | 1.829 |
| 13 | 0.484 |